1.
A relaxed structure of Cs2Tm2SO3. Source: OQMD via LeMat-Bulk, functional GGA-PBE.

The electronic total energy is -48.71 eV for the cell shown.

It has space group P3m1 (No. 156), with a = 3.5891 Å, b = 3.5891 Å, c = 14.2677 Å, α = 90.00°, β = 90.00° and γ = 120.00°. The inequivalent atoms are Cs at (0.0000, 0.0000, 0.0000), Cs at (0.3333, 0.6667, 0.5298), Tm at (0.6667, 0.3333, 0.2919), Tm at (0.6667, 0.3333, 0.7620), S at (0.3333, 0.6667, 0.1758), O at (0.0000, 0.0000, 0.3624), O at (0.0000, 0.0000, 0.6828) and O at (0.3333, 0.6667, 0.8337).

***

2.
A relaxed structure of RbSiAu3. Source: OQMD via LeMat-Bulk, functional GGA-PBE.

The calculation puts the energy above the lowest structure with this stoichiometry at 0 meV per atom.

It has space group P-1 (No. 2), with a = 6.876 Å, b = 6.877 Å, c = 7.406 Å, α = 63.06°, β = 62.75° and γ = 66.28°. The inequivalent atoms are Rb at (0.173, 0.174, 0.498), Si at (0.335, 0.334, 0.884), Au at (0.058, 0.687, 0.003), Au at (0.313, 0.941, 0.996), Au at (0.500, 0.500, 0.000) and Au at (0.500, 0.500, 0.500).